No. 1
! PBEsol Li2TcHg, optimized geometry; values from VASP
! DFT formation energy (eV per atom): 0.300
! Space group: Imm2
&SYSTEM
  ibrav = 0, nat = 4, ntyp = 3
/
ATOMIC_SPECIES
Hg 200.59 Hg.upf
Li 6.94 Li.upf
Tc 98.00 Tc.upf
CELL_PARAMETERS angstrom
2.697 0.000 0.000
0.000 4.610 0.000
-1.348 -2.305 4.698
ATOMIC_POSITIONS crystal
Hg 0.265 0.765 0.529
Li 0.737 0.237 0.475
Li 0.003 0.003 0.005
Tc 0.495 0.495 0.990

No. 2
! PBEsol LiTcHg, optimized geometry; values from VASP
! DFT formation energy (eV per atom): 0.358
! Space group: I4mm
&SYSTEM
  ibrav = 0, nat = 3, ntyp = 3
/
ATOMIC_SPECIES
Li 6.94 Li.upf
Hg 200.59 Hg.upf
Tc 98.00 Tc.upf
CELL_PARAMETERS angstrom
2.676 0.000 0.000
0.000 2.674 0.000
-1.338 -1.337 6.662
ATOMIC_POSITIONS crystal
Li 0.670 0.670 0.339
Hg 0.003 0.003 0.005
Tc 0.328 0.328 0.655

No. 3
! PBEsol LiHg4Te, optimized geometry; values from VASP
! Raw formation energy (kJ/mol of atoms): -0.48
! Space group: F-43m
&SYSTEM
  ibrav = 0, nat = 6, ntyp = 3
/
ATOMIC_SPECIES
Li 6.94 Li.upf
Hg 200.59 Hg.upf
Te 127.60 Te.upf
CELL_PARAMETERS angstrom
5.987 0.000 0.000
2.994 5.185 0.000
2.994 1.728 4.888
ATOMIC_POSITIONS crystal
Li 0.750 0.750 0.750
Hg 0.375 0.375 0.375
Hg 0.375 0.375 0.875
Te 0.000 0.000 0.000
Hg 0.875 0.375 0.375
Hg 0.375 0.875 0.375

No. 4
! PBEsol Li2HgTe, optimized geometry; values from VASP
! Raw formation energy (kJ/mol of atoms): -52.67
! Space group: I-4m2
&SYSTEM
  ibrav = 0, nat = 4, ntyp = 3
/
ATOMIC_SPECIES
Hg 200.59 Hg.upf
Li 6.94 Li.upf
Te 127.60 Te.upf
CELL_PARAMETERS angstrom
4.127 0.000 0.000
0.000 4.127 0.000
-2.064 -2.064 4.910
ATOMIC_POSITIONS crystal
Hg 0.250 0.750 0.500
Li 0.000 0.000 0.000
Te 0.500 0.500 0.000
Li 0.750 0.250 0.500